CeV2O6 GGA+U optimized geometry; density = 5.1 g/cm3; E = -8.05 eV per atom; space-group type = P-31m; spin magnetization = 2.1 μB per formula unit
1.0
-2.946 2.870 2.678
-3.796 -3.349 -0.588
3.183 -0.425 3.957
Ce V O
1 2 6
Direct
0.000 0.000 0.000
0.500 0.667 0.333
0.500 0.333 0.667
0.717 0.641 0.641
0.283 0.641 0.000
0.283 0.000 0.641
0.717 0.359 0.000
0.283 0.359 0.359
0.717 0.000 0.359